The following is a DFT calculation (PBE) of an optimized crystal structure of Ba2NaRh.

Computed properties:
excess energy over the best structure of this formula in the dataset	0	kJ/mol of formula units
energy of formation from the pure elements	-10.25	kJ per mole of atoms
VASP energy	-3.24	eV per atom
Fermi-level density of states	4.57	states/eV per cell

a b c (Å): 4.4506 6.7508 11.9314
angles (deg): 114.35 90.00 90.00
Last column: nearest neighbours and their distance in Å.
Fractional positions:
Ba (0.2500, 0.9715, 0.7804)  3 Rh 3.07-3.23
Ba (0.7500, 0.0285, 0.2196)  3 Rh 3.07-3.23
Ba (0.2500, 0.4488, 0.1275)  2 Rh 3.13
Ba (0.7500, 0.5512, 0.8725)  2 Rh 3.13
Na (0.7500, 0.7082, 0.4641)  4 Na 3.95-4.29, 6 Ba 4.10-4.30
Na (0.2500, 0.2918, 0.5359)  4 Na 3.95-4.29, 6 Ba 4.10-4.30
Rh (0.7500, 0.1222, 0.9749)  2 Rh 2.97, 5 Ba 3.07-3.23
Rh (0.2500, 0.8778, 0.0251)  2 Rh 2.97, 5 Ba 3.07-3.23

The following is a DFT calculation (PBE) of an optimized crystal structure of Ba2NaRh2.

Computed properties:
excess energy over the best structure of this formula in the dataset	0	kJ/mol of formula units
energy of formation from the pure elements	3.39	kJ per mole of atoms
VASP energy	-3.94	eV per atom
Fermi-level density of states	8.63	states/eV per cell

a b c (Å): 8.0532 8.0532 4.5113
angles (deg): 90.00 90.00 90.00
Last column: nearest neighbours and their distance in Å.
Fractional positions:
Na (0.0000, 0.0000, 0.0000)  4 Rh 3.24
Na (0.5000, 0.5000, 0.0000)  4 Rh 3.24
Rh (0.3852, 0.8852, 0.0000)  1 Rh 2.62
Rh (0.8852, 0.6148, 0.0000)  1 Rh 2.62
Rh (0.6148, 0.1148, 0.0000)  1 Rh 2.62
Rh (0.1148, 0.3852, 0.0000)  1 Rh 2.62
Ba (0.1726, 0.6726, 0.5000)  6 Rh 3.27-3.31
Ba (0.6726, 0.8274, 0.5000)  6 Rh 3.27-3.31
Ba (0.8274, 0.3274, 0.5000)  6 Rh 3.27-3.31
Ba (0.3274, 0.1726, 0.5000)  6 Rh 3.27-3.31

The following is a DFT calculation (PBE) of an optimized crystal structure of Ba6NaRh.

Computed properties:
energy of formation from the pure elements	-6.20	kJ per mole of atoms
VASP energy	-2.59	eV per atom
Fermi-level density of states	7.35	states/eV per cell

a b c (Å): 8.2137 8.2123 9.0858
angles (deg): 63.13 63.18 60.03
Last column: nearest neighbours and their distance in Å.
Fractional positions:
Ba (0.0397, 0.3983, 0.7722)  1 Rh 3.07
Ba (0.7893, 0.0393, 0.7726)  1 Rh 3.07
Ba (0.6022, 0.2106, 0.2273)  1 Rh 3.07
Ba (0.2107, 0.9607, 0.2274)  1 Rh 3.07
Ba (0.9603, 0.6017, 0.2278)  1 Rh 3.07
Ba (0.3978, 0.7894, 0.7727)  1 Rh 3.07
Na (0.5000, 0.5000, 0.5000)  6 Ba 3.73-3.74
Rh (0.0000, 0.0000, 0.0000)  6 Ba 3.07

The following is a DFT calculation (PBE) of an optimized crystal structure of Ba7Na12Rh.

Computed properties:
energy of formation from the pure elements	9.42	kJ per mole of atoms
VASP energy	-1.73	eV per atom
Fermi-level density of states	18.52	states/eV per cell

a b c (Å): 7.3604 12.4458 12.4458
angles (deg): 116.21 101.37 101.37
Last column: nearest neighbours and their distance in Å.
Fractional positions:
Ba (0.1105, 0.7658, 0.0013)  1 Rh 3.18
Ba (0.8908, 0.0013, 0.2355)  1 Rh 3.18
Ba (0.6554, 0.7645, 0.7658)  1 Rh 3.18
Ba (0.5000, 0.0000, 0.0000)  6 Ba 3.67, 2 Rh 3.68
Ba (0.3446, 0.2355, 0.2342)  1 Rh 3.18
Ba (0.1092, 0.9987, 0.7645)  1 Rh 3.18
Ba (0.8895, 0.2342, 0.9987)  1 Rh 3.18
Na (0.1042, 0.6022, 0.2065)  2 Na 3.38
Na (0.1022, 0.2065, 0.6042)  2 Na 3.38
Na (0.5624, 0.6376, 0.0016)  1 Na 3.35
Na (0.4392, 0.0016, 0.3640)  1 Na 3.35
Na (0.4980, 0.3958, 0.6022)  2 Na 3.38
Na (0.0752, 0.6360, 0.6376)  1 Na 3.35
Na (0.9248, 0.3640, 0.3624)  1 Na 3.35
Na (0.5020, 0.6042, 0.3978)  2 Na 3.38
Na (0.5608, 0.9984, 0.6360)  1 Na 3.35
Na (0.4376, 0.3624, 0.9984)  1 Na 3.35
Na (0.8978, 0.7935, 0.3958)  2 Na 3.38
Na (0.8958, 0.3978, 0.7935)  2 Na 3.38
Rh (0.0000, 0.0000, 0.0000)  6 Ba 3.18

The following is a DFT calculation (PBE) of an optimized crystal structure of Ba2NaRh.

Computed properties:
excess energy over the best structure of this formula in the dataset	7	kJ/mol of formula units
energy of formation from the pure elements	-8.48	kJ per mole of atoms
VASP energy	-3.22	eV per atom
Fermi-level density of states	2.42	states/eV per cell

a b c (Å): 4.4948 4.4948 10.3416
angles (deg): 77.45 77.45 60.00
Last column: nearest neighbours and their distance in Å.
Fractional positions:
Ba (0.0554, 0.0554, 0.8337)  3 Rh 3.09
Ba (0.2775, 0.2775, 0.1676)  3 Rh 3.08
Na (0.5010, 0.5010, 0.4969)  6 Ba 4.20-4.25, 6 Na 4.49
Rh (0.6661, 0.6661, 0.0018)  6 Ba 3.08-3.09

The following is a DFT calculation (PBE) of an optimized crystal structure of Ba2NaSbRh.

Computed properties:
formation energy without anion corrections	-0.400	eV per atom
VASP energy	-3.73	eV per atom
Fermi-level density of states	3.59	states/eV per cell

a b c (Å): 6.1830 6.1830 5.0909
angles (deg): 90.00 90.00 90.00
Last column: nearest neighbours and their distance in Å.
Fractional positions:
Sb (0.0000, 0.0000, 0.5000)  2 Rh 2.55
Rh (0.0000, 0.0000, 0.0000)  2 Sb 2.55
Ba (0.0000, 0.5000, 0.0000)  2 Rh 3.09
Ba (0.5000, 0.0000, 0.0000)  2 Rh 3.09
Na (0.5000, 0.5000, 0.5000)  8 Ba 4.00, 4 Sb 4.37

The following is a DFT calculation (PBE) of an optimized crystal structure of BaNaRhSe3.

Computed properties:
formation energy without anion corrections	-0.923	eV per atom
VASP energy	-4.43	eV per atom
Fermi-level density of states	6.76	states/eV per cell

a b c (Å): 6.7756 7.4321 7.9079
angles (deg): 118.03 90.00 90.00
Last column: nearest neighbours and their distance in Å.
Fractional positions:
Ba (0.7500, 0.1936, 0.3872)  8 Se 3.44-3.85, 1 Rh 3.46
Ba (0.2500, 0.8064, 0.6128)  8 Se 3.44-3.85, 1 Rh 3.46
Na (0.2500, 0.4316, 0.8631)  5 Se 2.74-2.87
Na (0.7500, 0.5684, 0.1369)  5 Se 2.74-2.87
Rh (0.2500, 0.0545, 0.1089)  5 Se 2.46-2.52
Rh (0.7500, 0.9455, 0.8911)  5 Se 2.46-2.52
Se (0.2500, 0.2350, 0.4701)  1 Rh 2.52, 1 Na 2.74
Se (0.0000, 0.2164, 0.0000)  2 Rh 2.46
Se (0.5000, 0.7836, 0.0000)  2 Rh 2.46
Se (0.5000, 0.2164, 0.0000)  2 Rh 2.46
Se (0.0000, 0.7836, 0.0000)  2 Rh 2.46
Se (0.7500, 0.7650, 0.5299)  1 Rh 2.52, 1 Na 2.74

The following is a DFT calculation (PBE) of an optimized crystal structure of BaNaSiRh.

Computed properties:
formation energy without anion corrections	-0.518	eV per atom
VASP energy	-4.52	eV per atom
Fermi-level density of states	4.83	states/eV per cell

a b c (Å): 4.1944 4.1944 13.1662
angles (deg): 90.00 90.00 90.00
Last column: nearest neighbours and their distance in Å.
Fractional positions:
Ba (0.7500, 0.7500, 0.2184)  4 Si 3.41, 4 Rh 3.56
Ba (0.2500, 0.2500, 0.7816)  4 Si 3.41, 4 Rh 3.56
Na (0.2500, 0.7500, 0.5000)  4 Na 2.97
Na (0.7500, 0.2500, 0.5000)  4 Na 2.97
Si (0.7500, 0.7500, 0.9101)  4 Rh 2.41
Si (0.2500, 0.2500, 0.0899)  4 Rh 2.41
Rh (0.7500, 0.2500, 0.0000)  4 Si 2.41
Rh (0.2500, 0.7500, 0.0000)  4 Si 2.41

The following is a DFT calculation (PBE) of an optimized crystal structure of Ba2NaSnRh.

Computed properties:
energy of formation from the pure elements	-29.68	kJ per mole of atoms
VASP energy	-3.61	eV per atom
Fermi-level density of states	4.19	states/eV per cell

a b c (Å): 6.1419 6.1419 5.1826
angles (deg): 90.00 90.00 90.00
Last column: nearest neighbours and their distance in Å.
Fractional positions:
Na (0.5000, 0.5000, 0.5000)  8 Ba 4.02, 4 Sn 4.34
Rh (0.0000, 0.0000, 0.0000)  2 Sn 2.59
Ba (0.0000, 0.5000, 0.0000)  2 Rh 3.07
Ba (0.5000, 0.0000, 0.0000)  2 Rh 3.07
Sn (0.0000, 0.0000, 0.5000)  2 Rh 2.59

The following is a DFT calculation (PBE) of an optimized crystal structure of BaNa2SnRh.

Computed properties:
energy of formation from the pure elements	78.48	kJ per mole of atoms
VASP energy	-2.37	eV per atom
Fermi-level density of states	3.67	states/eV per cell

a b c (Å): 6.0682 5.0690 6.0682
angles (deg): 90.00 90.00 90.00
Last column: nearest neighbours and their distance in Å.
Fractional positions:
Na (0.0000, 0.0000, 0.5000)  2 Ba 3.03
Na (0.5000, 0.0000, 0.0000)  2 Ba 3.03
Rh (0.0000, 0.5000, 0.0000)  2 Ba 2.53
Ba (0.0000, 0.0000, 0.0000)  2 Rh 2.53
Sn (0.5000, 0.5000, 0.5000)  8 Na 3.95, 4 Rh 4.29

The following is a DFT calculation (PBE) of an optimized crystal structure of BaNaSnRh.

Computed properties:
energy of formation from the pure elements	-37.15	kJ per mole of atoms
VASP energy	-4.03	eV per atom
Fermi-level density of states	6.35	states/eV per cell

a b c (Å): 4.6092 4.6092 12.4442
angles (deg): 90.00 90.00 90.00
Last column: nearest neighbours and their distance in Å.
Fractional positions:
Ba (0.7500, 0.7500, 0.2170)  4 Sn 3.53, 4 Rh 3.55
Ba (0.2500, 0.2500, 0.7830)  4 Sn 3.53, 4 Rh 3.55
Na (0.2500, 0.7500, 0.5000)  4 Na 3.26
Na (0.7500, 0.2500, 0.5000)  4 Na 3.26
Sn (0.7500, 0.7500, 0.8912)  4 Rh 2.67
Sn (0.2500, 0.2500, 0.1088)  4 Rh 2.67
Rh (0.7500, 0.2500, 0.0000)  4 Sn 2.67
Rh (0.2500, 0.7500, 0.0000)  4 Sn 2.67

The following is a DFT calculation (PBE) of an optimized crystal structure of BaNaSr2Rh.

Computed properties:
excess energy over the best structure of this formula in the dataset	0	kJ/mol of formula units
energy of formation from the pure elements	-14.31	kJ per mole of atoms
VASP energy	-2.94	eV per atom
Fermi-level density of states	4.42	states/eV per cell

a b c (Å): 5.9729 5.9729 6.0880
angles (deg): 90.00 90.00 90.00
Last column: nearest neighbours and their distance in Å.
Fractional positions:
Sr (0.0000, 0.5000, 0.0000)  2 Rh 2.99
Sr (0.5000, 0.0000, 0.0000)  2 Rh 2.99
Rh (0.0000, 0.0000, 0.0000)  4 Sr 2.99, 2 Ba 3.04
Ba (0.0000, 0.0000, 0.5000)  2 Rh 3.04
Na (0.5000, 0.5000, 0.5000)  4 Ba 4.22, 8 Sr 4.26